Record 1
Entry from Alexandria via LeMat-Bulk: a relaxed structure of Te2PtSe (PBE-GGA).

The crystal system is trigonal. The density of states at the Fermi level is 2.6 states/eV/cell. The calculation puts the total energy at -4.082 eV/atom.

Lattice parameters (Å, degrees): 7.9004 7.9004 7.9004 28.59 28.59 28.59
Fractional coordinates of all 4 atoms:
Te 0.0000 0.0000 0.0000
Te 0.2322 0.2322 0.2322
Pt 0.7324 0.7324 0.7324
Se 0.4552 0.4552 0.4552

---

Record 2
Entry from Alexandria via LeMat-Bulk: a relaxed structure of Te2PtSe (PBE-GGA).

The crystal system is orthorhombic. The density of states at the Fermi level is 3.1 states/eV/cell. The calculation puts the total energy at -3.703 eV/atom.

Lattice parameters (Å, degrees): 3.1241 3.1241 10.1352 90.00 90.00 105.07
Fractional coordinates of all 4 atoms:
Te 0.0000 0.0000 0.2031
Te 0.0000 0.0000 0.7969
Pt 0.5000 0.5000 0.0000
Se 0.5000 0.5000 0.5000

---

Record 3
Entry from Alexandria via LeMat-Bulk: a relaxed structure of Te2PtSe (PBE-GGA).

The crystal system is trigonal. The density of states at the Fermi level is 3.3 states/eV/cell. The calculation puts the total energy at -3.504 eV/atom.

Lattice parameters (Å, degrees): 9.7087 9.7087 9.7087 20.68 20.68 20.68
Fractional coordinates of all 4 atoms:
Te 0.0901 0.0901 0.0901
Te 0.9099 0.9099 0.9099
Pt 0.0000 0.0000 0.0000
Se 0.5000 0.5000 0.5000

---

Record 4
Entry from Alexandria via LeMat-Bulk: a relaxed structure of TePtSe3 (PBE-GGA).

The crystal system is cubic. The density of states at the Fermi level is 4.3 states/eV/cell. Its energy above the most stable polymorph in this dataset is 0 meV/atom.

Lattice parameters (Å, degrees): 4.9678 4.9678 4.9678 90.00 90.00 90.00
Fractional coordinates of all 5 atoms:
Te 0.0000 0.0000 0.0000
Pt 0.5000 0.5000 0.5000
Se 0.0000 0.5000 0.5000
Se 0.5000 0.0000 0.5000
Se 0.5000 0.5000 0.0000

---

Record 5
Entry from Alexandria via LeMat-Bulk: a relaxed structure of Te2PtSe (PBE-GGA).

The crystal system is monoclinic. The density of states at the Fermi level is 1.8 states/eV/cell. The calculation puts the total energy at -3.940 eV/atom.

Lattice parameters (Å, degrees): 4.9859 4.9859 4.9819 110.61 110.61 107.12
Fractional coordinates of all 4 atoms:
Te 0.0000 0.5000 0.0000
Te 0.5000 0.0000 0.0000
Pt 0.0000 0.0000 0.5000
Se 0.5000 0.5000 0.5000

---

Record 6
Entry from Alexandria via LeMat-Bulk: a relaxed structure of Te2PtSe (PBE-GGA).

The crystal system is orthorhombic. The density of states at the Fermi level is 1.8 states/eV/cell. The calculation puts the total energy at -3.979 eV/atom.

Lattice parameters (Å, degrees): 6.5106 6.5106 6.5106 146.47 135.48 56.86
Fractional coordinates of all 4 atoms:
Te 0.0000 0.0000 0.0000
Te 0.6648 0.1648 0.5000
Pt 0.1667 0.6667 0.5000
Se 0.3194 0.3194 0.0000

---

Record 7
Entry from Alexandria via LeMat-Bulk: a relaxed structure of TePtSe4 (PBE-GGA).

The crystal system is cubic. The density of states at the Fermi level is 6.0 states/eV/cell. Its energy above the most stable polymorph in this dataset is 1037 meV/atom.

Lattice parameters (Å, degrees): 5.6721 5.6721 5.6721 60.00 60.00 60.00
Fractional coordinates of all 6 atoms:
Te 0.0000 0.0000 0.0000
Pt 0.7500 0.7500 0.7500
Se 0.3778 0.3778 0.3778
Se 0.3778 0.3778 0.8665
Se 0.3778 0.8665 0.3778
Se 0.8665 0.3778 0.3778

---

Record 8
Entry from Alexandria via LeMat-Bulk: a relaxed structure of Te2PtSe (PBE-GGA).

The crystal system is cubic. The density of states at the Fermi level is 4.5 states/eV/cell. The calculation puts the total energy at -3.478 eV/atom.

Lattice parameters (Å, degrees): 5.0065 5.0065 5.0065 60.00 60.00 60.00
Fractional coordinates of all 4 atoms:
Te 0.0000 0.0000 0.0000
Te 0.2500 0.2500 0.2500
Pt 0.7500 0.7500 0.7500
Se 0.5000 0.5000 0.5000

---

Record 9
Entry from Alexandria via LeMat-Bulk: a relaxed structure of Te2PtSe (PBE-GGA).

The crystal system is trigonal. The density of states at the Fermi level is 2.4 states/eV/cell. The calculation puts the total energy at -4.141 eV/atom.

Lattice parameters (Å, degrees): 7.3696 7.3696 7.3696 31.54 31.54 31.54
Fractional coordinates of all 4 atoms:
Te 0.2364 0.2364 0.2364
Te 0.7636 0.7636 0.7636
Pt 0.5000 0.5000 0.5000
Se 0.0000 0.0000 0.0000

---

Record 10
Entry from Alexandria via LeMat-Bulk: a relaxed structure of Te4PtSe (PBE-GGA).

The crystal system is cubic. The density of states at the Fermi level is 7.3 states/eV/cell. The calculation puts the total energy at -2.795 eV/atom.

Lattice parameters (Å, degrees): 6.1333 6.1333 6.1333 60.00 60.00 60.00
Fractional coordinates of all 6 atoms:
Te 0.1252 0.1252 0.1252
Te 0.1252 0.1252 0.6243
Te 0.1252 0.6243 0.1252
Te 0.6243 0.1252 0.1252
Pt 0.7500 0.7500 0.7500
Se 0.5000 0.5000 0.5000

---

Record 11
Entry from Alexandria via LeMat-Bulk: a relaxed structure of Te2PtSe (PBE-GGA).

The crystal system is tetragonal. The density of states at the Fermi level is 2.4 states/eV/cell. The calculation puts the total energy at -3.922 eV/atom.

Lattice parameters (Å, degrees): 3.7953 3.7953 8.1847 90.00 90.00 90.00
Fractional coordinates of all 4 atoms:
Te 0.0000 0.0000 0.0000
Te 0.5000 0.5000 0.4133
Pt 0.0000 0.0000 0.3236
Se 0.5000 0.5000 0.9028

---

Record 12
Entry from Alexandria via LeMat-Bulk: a relaxed structure of Te3PtSe (PBE-GGA).

The crystal system is cubic. The density of states at the Fermi level is 7.0 states/eV/cell. Its energy above the most stable polymorph in this dataset is 0 meV/atom.

Lattice parameters (Å, degrees): 5.2844 5.2844 5.2844 90.00 90.00 90.00
Fractional coordinates of all 5 atoms:
Te 0.0000 0.0000 0.5000
Te 0.0000 0.5000 0.0000
Te 0.5000 0.0000 0.0000
Pt 0.0000 0.0000 0.0000
Se 0.5000 0.5000 0.5000

---

Record 13
Entry from Alexandria via LeMat-Bulk: a relaxed structure of Te3Pt2Se (PBE-GGA).

The crystal system is monoclinic. The density of states at the Fermi level is 4.2 states/eV/cell. The calculation puts the total energy at -4.552 eV/atom.

Lattice parameters (Å, degrees): 6.6299 6.6299 12.6287 111.98 111.98 35.37
Fractional coordinates of all 12 atoms:
Te 0.1107 0.1107 0.2263
Te 0.1428 0.1428 0.5237
Te 0.3552 0.3552 0.9775
Te 0.6448 0.6448 0.0225
Te 0.8572 0.8572 0.4763
Te 0.8893 0.8893 0.7737
Pt 0.1217 0.1217 0.8726
Pt 0.3753 0.3753 0.6262
Pt 0.6247 0.6247 0.3738
Pt 0.8783 0.8783 0.1274
Se 0.4011 0.4011 0.2678
Se 0.5989 0.5989 0.7322

---

Record 14
Entry from Alexandria via LeMat-Bulk: a relaxed structure of Te2PtSe (PBE-GGA).

The crystal system is tetragonal. The density of states at the Fermi level is 1.5 states/eV/cell. The calculation puts the total energy at -3.805 eV/atom.

Lattice parameters (Å, degrees): 3.7027 3.7027 9.2088 90.00 90.00 90.00
Fractional coordinates of all 4 atoms:
Te 0.0000 0.0000 0.0000
Te 0.5000 0.5000 0.4328
Pt 0.0000 0.0000 0.5161
Se 0.5000 0.5000 0.9011